<a>
{"formula": "V2B2Ir", "functional": "PBE-GGA", "state": "relaxed", "cell": [[7.2285, 0.0000, 0.0000], [0.0000, 9.3105, 0.0000], [0.0000, 0.0000, 3.0528]], "species": ["V", "V", "V", "V", "V", "V", "V", "V", "B", "B", "B", "B", "B", "B", "B", "B", "Ir", "Ir", "Ir", "Ir"], "fractional_positions": [[0.0742, 0.1398, 0.0000], [0.1878, 0.3676, 0.5000], [0.3122, 0.8676, 0.0000], [0.4258, 0.6398, 0.5000], [0.5742, 0.3602, 0.5000], [0.6878, 0.1324, 0.0000], [0.8122, 0.6324, 0.5000], [0.9258, 0.8602, 0.0000], [0.1129, 0.9604, 0.5000], [0.1241, 0.7699, 0.5000], [0.3759, 0.2699, 0.0000], [0.3871, 0.4604, 0.0000], [0.6129, 0.5396, 0.0000], [0.6241, 0.7301, 0.0000], [0.8759, 0.2301, 0.5000], [0.8871, 0.0396, 0.5000], [0.1265, 0.6046, 0.0000], [0.3735, 0.1046, 0.5000], [0.6265, 0.8954, 0.5000], [0.8735, 0.3954, 0.0000]], "dos_ef_per_ev_cell": 13.64, "sg": "No. 58"}

---

<b>
{"formula": "V2B2Ir", "functional": "PBE-GGA", "state": "relaxed", "cell": [[2.2710, -5.5455, 0.0000], [2.2710, 5.5455, 0.0000], [0.0000, 0.0000, 4.8528]], "species": ["V", "V", "V", "V", "B", "B", "B", "B", "Ir", "Ir"], "fractional_positions": [[0.0826, 0.9174, 0.7500], [0.2877, 0.7123, 0.2500], [0.7123, 0.2877, 0.7500], [0.9174, 0.0826, 0.2500], [0.0807, 0.2939, 0.7500], [0.2939, 0.0807, 0.2500], [0.7061, 0.9193, 0.7500], [0.9193, 0.7061, 0.2500], [0.5000, 0.5000, 0.0000], [0.5000, 0.5000, 0.5000]], "dos_ef_per_ev_cell": 9.50, "sg": "No. 63"}

---

<c>
{"formula": "V2B2Ir", "functional": "PBE-GGA", "state": "relaxed", "cell": [[5.5442, 0.0000, 0.0000], [0.0000, 5.5442, 0.0000], [0.0000, 0.0000, 3.3839]], "species": ["V", "V", "V", "V", "B", "B", "B", "B", "Ir", "Ir"], "fractional_positions": [[0.1687, 0.3313, 0.0000], [0.3313, 0.8313, 0.0000], [0.6687, 0.1687, 0.0000], [0.8313, 0.6687, 0.0000], [0.1163, 0.6163, 0.5000], [0.3837, 0.1163, 0.5000], [0.6163, 0.8837, 0.5000], [0.8837, 0.3837, 0.5000], [0.0000, 0.0000, 0.5000], [0.5000, 0.5000, 0.5000]], "dos_ef_per_ev_cell": 8.59, "sg": "No. 127"}

---

Of them, the most stable is <a> and the least stable is <b>.

---

<a>
{"formula": "VB2Ir", "functional": "PBE-GGA", "state": "relaxed", "cell": [[0.0000, 2.7100, 2.7100], [2.7100, 0.0000, 2.7100], [2.7100, 2.7100, 0.0000]], "species": ["V", "B", "B", "Ir"], "fractional_positions": [[0.0000, 0.0000, 0.0000], [0.2500, 0.2500, 0.2500], [0.7500, 0.7500, 0.7500], [0.5000, 0.5000, 0.5000]], "dos_ef_per_ev_cell": 2.83, "sg": "No. 225"}

---

<b>
{"formula": "VB2Ir", "functional": "PBE-GGA", "state": "relaxed", "cell": [[-2.2258, 2.2258, 5.3408], [2.2258, -2.2258, 5.3408], [2.2258, 2.2258, -5.3408]], "species": ["V", "V", "B", "B", "B", "B", "Ir", "Ir"], "fractional_positions": [[0.0000, 0.0000, 0.0000], [0.7500, 0.2500, 0.5000], [0.1527, 0.6250, 0.0277], [0.3750, 0.4027, 0.5277], [0.5973, 0.1250, 0.9723], [0.8750, 0.8473, 0.4723], [0.2500, 0.7500, 0.5000], [0.5000, 0.5000, 0.0000]], "dos_ef_per_ev_cell": 6.18, "sg": "No. 122"}

---

Of them, the most stable is <a> and the least stable is <b>.

---

<a>
{"formula": "B3IrW", "functional": "PBE-GGA", "state": "relaxed", "cell": [[4.0836, 0.0000, 0.0000], [0.0000, 4.0836, 0.0000], [0.0000, 0.0000, 4.0836]], "species": ["B", "B", "B", "Ir", "W"], "fractional_positions": [[0.0000, 0.0000, 0.5000], [0.0000, 0.5000, 0.0000], [0.5000, 0.0000, 0.0000], [0.5000, 0.5000, 0.5000], [0.0000, 0.0000, 0.0000]], "dos_ef_per_ev_cell": 4.21, "sg": "No. 221"}

---

<b>
{"formula": "B3IrW", "functional": "PBE-GGA", "state": "relaxed", "cell": [[4.0196, 0.0000, 0.0000], [0.0000, 4.0196, 0.0000], [0.0000, 0.0000, 4.0196]], "species": ["B", "B", "B", "Ir", "W"], "fractional_positions": [[0.0000, 0.0000, 0.5000], [0.0000, 0.5000, 0.0000], [0.5000, 0.0000, 0.0000], [0.0000, 0.0000, 0.0000], [0.5000, 0.5000, 0.5000]], "dos_ef_per_ev_cell": 4.33, "sg": "No. 221"}

---

Of them, the most stable is <b> and the least stable is <a>.